## Sc2TaSb (PBE)

Data for a geometry-optimized Sc2TaSb structure.

Cell lengths 3.148, 3.148, 8.936 Å; angles 90.00, 90.00, 98.41 degrees
Fractional positions:
1 Sb 0.500 0.500 0.750
2 Sc 0.000 0.000 0.014
3 Sc 0.000 0.000 0.486
4 Ta 0.500 0.500 0.250

Formation energy (no corrections)   -0.161 eV per atom
Symmetry   No. 65
Theoretical density   7444 kg/m³



## HgHIO2 (PBE)

Data for a geometry-optimized HgHIO2 structure.

Cell lengths 4.049, 4.049, 7.604 Å; angles 90.00, 90.00, 90.00 degrees
Last column: magnetic moment on the atom in μB.
Fractional positions:
1 I 0.000 0.000 0.500  0.00
2 H 0.500 0.500 0.500  0.00
3 Hg 0.000 0.000 0.000  0.12
4 O 0.000 0.500 0.000  0.49
5 O 0.500 0.000 0.000  0.49

Symmetry   No. 123
Theoretical density   4803 kg/m³
Offset from the most stable computed form   16.3 meV/atom



no.,DOS(E_F) (states/eV/f.u.),DFT total energy (eV/atom)
1,4.55,-7.3202
2,5.17,-2.1335